DFT (PBE) results for BaAcLa2 after structural relaxation.

a b c (Å): 3.9161 3.9161 13.2035
angles (deg): 81.47 81.47 60.00
Sites, in units of the cell vectors:
1 Ac 0.0000 0.0000 0.0000
2 Ba 0.5000 0.5000 0.5000
3 La 0.7450 0.7450 0.7649
4 La 0.2550 0.2550 0.2351

Calculated values
The space group is R-3m (166). Its energy above the most stable polymorph in this dataset is 0.006 eV/atom.

---

DFT (PBE) results for KTaAu after structural relaxation.

a b c (Å): 3.0266 3.0266 8.5546
angles (deg): 90.00 90.00 120.00
Sites, in units of the cell vectors:
1 Au 0.0000 0.0000 0.9737
2 K 0.6667 0.3333 0.3199
3 Ta 0.3333 0.6667 0.7064

Calculated values
The space group is P3m1 (156). Its energy above the most stable polymorph in this dataset is 0.046 eV/atom.

---

DFT (PBE) results for TiZn4Ag after structural relaxation.

a b c (Å): 2.8761 2.8761 11.2014
angles (deg): 90.00 90.00 90.00
Sites, in units of the cell vectors:
1 Ti 0.5000 0.5000 0.5000
2 Zn 0.5000 0.5000 0.1744
3 Zn 0.0000 0.0000 0.6684
4 Zn 0.0000 0.0000 0.3316
5 Zn 0.5000 0.5000 0.8256
6 Ag 0.0000 0.0000 0.0000

Calculated values
The space group is P4/mmm (123). Its energy above the most stable polymorph in this dataset is 0.008 eV/atom.

---

DFT (PBE) results for Tb8Sn2Ir after structural relaxation.

a b c (Å): 4.9967 6.6966 10.0230
angles (deg): 105.10 104.43 90.00
Sites, in units of the cell vectors:
1 Tb 0.4104 0.5442 0.8209
2 Tb 0.6458 0.9984 0.2916
3 Tb 0.7815 0.6790 0.5630
4 Tb 0.9798 0.2128 0.9596
5 Tb 0.2185 0.3210 0.4370
6 Tb 0.3542 0.0016 0.7084
7 Tb 0.5896 0.4558 0.1791
8 Tb 0.0202 0.7872 0.0404
9 Sn 0.8187 0.2450 0.6374
10 Sn 0.1813 0.7550 0.3626
11 Ir 0.5000 0.0000 0.0000

Calculated values
Its uncorrected energy is -5.373 eV/atom. The space group is C2/m (12).

---

Number 1: volume 43.193 A^3/atom. Number 2: volume 22.621 A^3/atom. Number 3: volume 15.443 A^3/atom. Number 4: volume 28.439 A^3/atom.